# NaY2Ho

NaY2Ho after structural relaxation (PBE, Alexandria via LeMat-Bulk).

Computed properties:
* E_form: 166 meV per atom
* total magnetization: 0.0 Bohr magnetons per cell
* energy above the lowest structure with this stoichiometry: 0.038 eV per atom

Lattice parameters (Å, degrees): 12.864 12.864 12.864 15.66 15.66 15.66
Fractional positions:
Na (0.000, 0.000, 0.000)
Y (0.092, 0.092, 0.092)
Y (0.908, 0.908, 0.908)
Ho (0.500, 0.500, 0.500)

***

# Ac6Cd5Hg

Ac6Cd5Hg after structural relaxation (PBE, Alexandria via LeMat-Bulk).

Computed properties:
* E_form: -324 meV per atom
* total magnetization: 0.0 Bohr magnetons per cell

Lattice parameters (Å, degrees): 5.750 8.147 9.092 90.00 108.14 90.00
Fractional positions:
Ac (0.000, 0.248, 0.000)
Ac (0.000, 0.752, 0.000)
Ac (0.334, 0.250, 0.669)
Ac (0.334, 0.750, 0.669)
Ac (0.666, 0.250, 0.331)
Ac (0.666, 0.750, 0.331)
Cd (0.168, 0.500, 0.335)
Cd (0.170, 0.000, 0.340)
Cd (0.500, 0.500, 0.000)
Cd (0.830, 0.000, 0.660)
Cd (0.832, 0.500, 0.665)
Hg (0.500, 0.000, 0.000)

***

# CaCoHg

CaCoHg after structural relaxation (PBE, Alexandria via LeMat-Bulk).

Computed properties:
* E_form: -54 meV per atom
* total magnetization: 2.4 Bohr magnetons per cell

Lattice parameters (Å, degrees): 3.779 8.883 8.883 26.23 90.00 90.00
Fractional positions:
Ca (0.000, 0.000, 0.000)
Ca (0.000, 0.215, 0.215)
Co (0.000, 0.376, 0.376)
Co (0.500, 0.443, 0.443)
Hg (0.500, 0.603, 0.603)
Hg (0.500, 0.832, 0.832)

***

# TiCuS4

TiCuS4 after structural relaxation (PBE, Alexandria via LeMat-Bulk).

Computed properties:
* total magnetization: 0.0 Bohr magnetons per cell
* raw formation energy: -0.3449 eV per atom
* energy above the lowest structure with this stoichiometry: 0.049 eV per atom

Lattice parameters (Å, degrees): 6.924 6.924 6.924 120.20 118.48 91.15
Fractional positions:
Ti (0.500, 0.000, 0.000)
Ti (0.500, 0.500, 0.500)
Cu (0.132, 0.382, 0.750)
Cu (0.868, 0.618, 0.250)
S (0.257, 0.238, 0.481)
S (0.257, 0.776, 0.019)
S (0.261, 0.749, 0.512)
S (0.263, 0.251, 0.012)
S (0.737, 0.749, 0.988)
S (0.739, 0.251, 0.488)
S (0.743, 0.224, 0.981)
S (0.743, 0.762, 0.519)